(1)
The following is a DFT calculation (PBE) of crystalline In3GaAu at its relaxed geometry.

The space group is Pm-3m (No. 221) and the conventional cell measures 5.3552, 5.3552 and 5.3552 Å, with angles of 90.00, 90.00 and 90.00 degrees. Symmetry generates all atoms from In at (0.0000, 0.0000, 0.5000), Ga at (0.5000, 0.5000, 0.5000) and Au at (0.0000, 0.0000, 0.0000).

As for the calculated formation energy: 201 meV per atom. As for the offset from the most stable computed form: 0.000 eV per atom.

---

(2)
The following is a DFT calculation (PBE) of crystalline In2Ga2Au7 at its relaxed geometry.

The space group is C2/m (No. 12) and the conventional cell measures 12.4997, 9.0019 and 4.2438 Å, with angles of 90.00, 107.60 and 90.00 degrees. Symmetry generates all atoms from In at (0.0000, 0.2195, 0.0000), Ga at (0.2143, 0.5000, 0.4554), Au at (0.0000, 0.0000, 0.5000), Au at (0.0843, 0.5000, 0.8343) and Au at (0.1705, 0.2197, 0.6729).

As for the calculated formation energy: -153 meV per atom. As for the offset from the most stable computed form: 0.000 eV per atom.

---

(3)
The following is a DFT calculation (PBE) of crystalline In2Ga2Au7 at its relaxed geometry.

The space group is C2/m (No. 12) and the conventional cell measures 10.1361, 8.8548 and 5.2947 Å, with angles of 90.00, 110.26 and 90.00 degrees. Symmetry generates all atoms from In at (0.0000, 0.1800, 0.0000), Ga at (0.1689, 0.5000, 0.4451), Au at (0.0000, 0.0000, 0.5000), Au at (0.1045, 0.5000, 0.8828) and Au at (0.2037, 0.2259, 0.7165).

As for the calculated formation energy: -139 meV per atom. As for the offset from the most stable computed form: 0.014 eV per atom.

---

(4)
The following is a DFT calculation (PBE) of crystalline InGaAu4 at its relaxed geometry.

The space group is C2/m (No. 12) and the conventional cell measures 11.5083, 8.0614 and 5.9580 Å, with angles of 90.00, 119.97 and 90.00 degrees. Symmetry generates all atoms from In at (0.1400, 0.0000, 0.3656), Ga at (0.0542, 0.5000, 0.7728), Au at (0.0000, 0.2320, 0.5000), Au at (0.1525, 0.3147, 0.2007) and Au at (0.1708, 0.0000, 0.9325).

As for the calculated formation energy: -94 meV per atom. As for the offset from the most stable computed form: 0.028 eV per atom.

---

| no. | total moment (μB/f.u.) |
| --- | --- |
| 1 | 0.00 |
| 2 | 0.00 |
| 3 | 0.00 |
| 4 | 0.00 |